The following is a DFT calculation (meta-GGA SCAN) of a PBEsol-optimized structure of CuAg2WI.

Output
Fermi-level density of states	3.8	states/eV/f.u.
VASP energy	-35.116	eV/atom
total moment	0.00	μB per formula unit
symmetry	P4/mmm

The structure in POSCAR format:
```
CuAg2WI
1.0
5.146 0.000 0.000
0.000 5.146 0.000
0.000 0.000 4.974
Cu Ag W I
1 2 1 1
direct
0.000 0.000 0.000
0.000 0.500 0.500
0.500 0.000 0.500
0.500 0.500 0.500
0.500 0.500 0.000
```